Below is a relaxed UZnCo crystal, with properties calculated at the PBE-GGA level.

Structure (POSCAR):
```
UZnCo
1.0
-1.4770 1.4770 5.4673
1.4770 -1.4770 5.4673
1.4770 1.4770 -5.4673
U Zn Co
1 1 1
Cartesian
0.0000 0.0000 0.0000
0.0000 0.0000 3.1487
0.0000 0.0000 7.0719
```

Summary:
Uncorrected energy (eV/atom): -6.60
Space-group type: No. 107
Density of states at the Fermi level (states/eV/cell): 4.20

Below is a relaxed U2ZnCo9 crystal, with properties calculated at the PBE-GGA level.

Structure (POSCAR):
```
U2ZnCo9
1.0
3.7602 0.0000 0.0000
0.0000 3.7602 0.0000
0.0000 0.0000 10.7457
U Zn Co
2 1 9
Cartesian
0.0000 0.0000 1.8940
0.0000 0.0000 8.8517
0.0000 0.0000 5.3729
0.0000 1.8801 0.0000
0.0000 1.8801 3.7055
0.0000 1.8801 7.0402
1.8801 0.0000 0.0000
1.8801 0.0000 3.7055
1.8801 0.0000 7.0402
1.8801 1.8801 1.8581
1.8801 1.8801 5.3729
1.8801 1.8801 8.8876
```

Summary:
Uncorrected energy (eV/atom): -7.46
Space-group type: No. 123
Density of states at the Fermi level (states/eV/cell): 9.59

Below is a relaxed UZnCo crystal, with properties calculated at the PBE-GGA level.

Structure (POSCAR):
```
UZnCo
1.0
0.0000 3.4410 5.4696
2.6977 0.0000 5.4696
2.6977 3.4410 0.0000
U Zn Co
2 2 2
Cartesian
1.3489 1.7205 2.7348
4.0466 5.1615 8.2044
2.6977 1.2035 5.4696
2.6977 5.6785 5.4696
2.6977 3.4410 4.2546
2.6977 3.4410 6.6846
```

Summary:
Uncorrected energy (eV/atom): -6.41
Space-group type: No. 69
Density of states at the Fermi level (states/eV/cell): 6.34

Below is a relaxed UZnCo6 crystal, with properties calculated at the PBE-GGA level.

Structure (POSCAR):
```
UZnCo6
1.0
5.1587 0.0000 0.0000
0.0000 5.1587 0.0000
0.0000 0.0000 3.7079
U Zn Co
1 1 6
Cartesian
0.0000 0.0000 0.0000
2.5793 2.5793 0.0000
0.0000 2.5793 0.0000
1.3261 1.3261 1.8539
1.3261 3.8326 1.8539
2.5793 0.0000 0.0000
3.8326 1.3261 1.8539
3.8326 3.8326 1.8539
```

Summary:
Uncorrected energy (eV/atom): -6.97
Space-group type: No. 123
Density of states at the Fermi level (states/eV/cell): 9.63

no.,formation energy (meV/atom)
1,-42
2,-148
3,144
4,-68